# 1
BaVPO2, optimized geometry, DFT PBE with a Hubbard U; DOS at the Fermi energy = 0.57 states/eV per atom; raw total energy = -23.152 eV for the cell shown
1.0
4.389 0.000 0.000
0.000 4.389 0.000
0.000 0.000 6.687
Ba V P O
1 1 1 2
Direct
0.000 0.000 0.000 Ba
0.500 0.500 0.500 V
0.000 0.000 0.500 P
0.000 0.500 0.000 O
0.500 0.000 0.000 O


# 2
PmCoSbO6, optimized geometry, DFT PBE with a Hubbard U; raw total energy = -119.811 eV for the cell shown
1.0
5.124 0.000 0.000
-2.562 4.438 0.000
0.000 0.000 10.168
Pm Co Sb O
2 2 2 12
Direct
0.000 0.000 0.000 Pm
0.000 0.000 0.500 Pm
0.333 0.667 0.250 Co
0.667 0.333 0.750 Co
0.333 0.667 0.750 Sb
0.667 0.333 0.250 Sb
0.016 0.374 0.144 O
0.016 0.642 0.356 O
0.358 0.374 0.356 O
0.358 0.984 0.144 O
0.374 0.016 0.644 O
0.374 0.358 0.856 O
0.626 0.642 0.144 O
0.626 0.984 0.356 O
0.642 0.016 0.856 O
0.642 0.626 0.644 O
0.984 0.358 0.644 O
0.984 0.626 0.856 O